(1)
Compound: Th3Zr
Source: the Alexandria database
Functional: PBE-GGA
Structure: optimized geometry

Lattice parameters (Å, degrees): 4.9123 4.9123 6.0524 113.94 113.94 90.00
Fractional positions:
Zr: 0.0000 0.0000 0.0000
Th: 0.5000 0.5000 0.0000
Th: 0.7500 0.2500 0.5000
Th: 0.2500 0.7500 0.5000

Values from the calculation:
energy of formation from the pure elements: 74 meV per atom



(2)
Compound: Th3Zr
Source: the Alexandria database
Functional: PBE-GGA
Structure: optimized geometry

Lattice parameters (Å, degrees): 3.4590 6.0067 6.7563 116.39 104.83 90.00
Fractional positions:
Zr: 0.0000 0.0182 0.0000
Th: 0.2579 0.5849 0.5159
Th: 0.7421 0.0690 0.4841
Th: 0.5000 0.4945 0.0000

Values from the calculation:
energy of formation from the pure elements: 111 meV per atom



(3)
Compound: Th3Zr
Source: the Alexandria database
Functional: PBE-GGA
Structure: optimized geometry

Lattice parameters (Å, degrees): 5.7935 3.4857 5.9608 90.00 90.00 90.00
Fractional positions:
Th: 0.0000 0.5000 0.5085
Th: 0.5000 0.5000 0.1534
Th: 0.5000 0.0000 0.6726
Zr: 0.0000 0.0000 0.9988

Values from the calculation:
energy of formation from the pure elements: 108 meV per atom



(4)
Compound: ThZr3
Source: the Alexandria database
Functional: PBE-GGA
Structure: optimized geometry

Lattice parameters (Å, degrees): 4.6568 4.6568 4.6568 90.00 90.00 90.00
Fractional positions:
Th: 0.0000 0.0000 0.0000
Zr: 0.5000 0.5000 0.0000
Zr: 0.0000 0.5000 0.5000
Zr: 0.5000 0.0000 0.5000

Values from the calculation:
energy of formation from the pure elements: 87 meV per atom



(5)
Compound: Ti
Source: the Alexandria database
Functional: PBE-GGA
Structure: optimized geometry

Lattice parameters (Å, degrees): 6.0026 6.0026 6.0026 90.00 90.00 90.00
Each line ends with the local moment (μB).
Fractional positions:
Ti: 0.2500 0.7500 0.7500  1.88
Ti: 0.7500 0.2500 0.7500  1.88
Ti: 0.7500 0.7500 0.2500  1.88
Ti: 0.5000 0.5000 0.0000  1.88
Ti: 0.2500 0.2500 0.2500  1.88
Ti: 0.0000 0.5000 0.5000  1.88
Ti: 0.5000 0.0000 0.5000  1.88
Ti: 0.0000 0.0000 0.0000  1.88

Values from the calculation:
energy of formation from the pure elements: 2140 meV per atom



(6)
Compound: Ti
Source: the Alexandria database
Functional: PBE-GGA
Structure: optimized geometry

Lattice parameters (Å, degrees): 4.5736 4.5736 2.8280 90.00 90.00 120.00
Fractional positions:
Ti: 0.6667 0.3333 0.5000
Ti: 0.0000 0.0000 0.0000
Ti: 0.3333 0.6667 0.5000

Values from the calculation:
energy of formation from the pure elements: 0 meV per atom



| no. | total DFT energy (no corrections) (eV/atom) |
| --- | --- |
| 1 | -7.63 |
| 2 | -7.59 |
| 3 | -7.59 |
| 4 | -8.18 |
| 5 | -5.76 |
| 6 | -7.89 |